No. 1
# SrTb4Hg5 | Alexandria via LeMat-Bulk | PBE | optimized geometry
# **E_form**: -0.4914 eV/atom
# **SG**: P4/mmm (123)
data_SrTb4Hg5
_chemical_formula_sum 'Sr1 Tb4 Hg5'
_symmetry_space_group_name_H-M 'P 1'
_symmetry_Int_Tables_number 1
_cell_length_a 3.780
_cell_length_b 3.780
_cell_length_c 19.003
_cell_angle_alpha 90.00
_cell_angle_beta 90.00
_cell_angle_gamma 90.00
loop_
_symmetry_equiv_pos_as_xyz
'x,y,z'
loop_
_atom_site_label
_atom_site_type_symbol
_atom_site_fract_x
_atom_site_fract_y
_atom_site_fract_z
Hg1 Hg 0.500 0.500 0.694
Hg2 Hg 0.500 0.500 0.500
Hg3 Hg 0.500 0.500 0.117
Sr1 Sr 0.000 0.000 0.000
Tb1 Tb 0.000 0.000 0.597
Hg4 Hg 0.500 0.500 0.883
Tb2 Tb 0.000 0.000 0.403
Tb3 Tb 0.000 0.000 0.792
Hg5 Hg 0.500 0.500 0.306
Tb4 Tb 0.000 0.000 0.208

***

No. 2
# RbTcRuS3 | Alexandria via LeMat-Bulk | PBE | optimized geometry
# **Uncorrected formation energy**: -0.6082 eV per atom
# **SG**: P2_1/m (11)
data_RbTcRuS3
_chemical_formula_sum 'Rb2 Tc2 Ru2 S6'
_symmetry_space_group_name_H-M 'P 1'
_symmetry_Int_Tables_number 1
_cell_length_a 3.749
_cell_length_b 8.151
_cell_length_c 9.456
_cell_angle_alpha 115.38
_cell_angle_beta 90.00
_cell_angle_gamma 90.00
loop_
_symmetry_equiv_pos_as_xyz
'x,y,z'
loop_
_atom_site_label
_atom_site_type_symbol
_atom_site_fract_x
_atom_site_fract_y
_atom_site_fract_z
S1 S 0.250 0.778 0.432
S2 S 0.750 0.876 0.132
S3 S 0.750 0.222 0.568
Tc1 Tc 0.250 0.703 0.157
S4 S 0.750 0.487 0.127
Rb1 Rb 0.750 0.748 0.743
S5 S 0.250 0.513 0.873
Rb2 Rb 0.250 0.252 0.257
Ru1 Ru 0.750 0.912 0.385
Tc2 Tc 0.750 0.297 0.843
Ru2 Ru 0.250 0.088 0.615
S6 S 0.250 0.124 0.868

***

No. 3
# SrCuGe2Te | Alexandria via LeMat-Bulk | PBE | optimized geometry
# **Uncorrected formation energy**: 0.6734 eV per atom
# **SG**: P4/mmm (123)
data_SrCuGe2Te
_chemical_formula_sum 'Sr1 Cu1 Ge2 Te1'
_symmetry_space_group_name_H-M 'P 1'
_symmetry_Int_Tables_number 1
_cell_length_a 5.513
_cell_length_b 6.056
_cell_length_c 5.513
_cell_angle_alpha 90.00
_cell_angle_beta 90.00
_cell_angle_gamma 90.00
loop_
_symmetry_equiv_pos_as_xyz
'x,y,z'
loop_
_atom_site_label
_atom_site_type_symbol
_atom_site_fract_x
_atom_site_fract_y
_atom_site_fract_z
Te1 Te 0.000 0.000 0.000
Sr1 Sr 0.000 0.500 0.000
Cu1 Cu 0.500 0.500 0.500
Ge1 Ge 0.000 0.000 0.500
Ge2 Ge 0.500 0.000 0.000

***

| no. | VASP energy (eV/atom) |
| --- | --- |
| 1 | -2.6626 |
| 2 | -6.1069 |
| 3 | -2.9575 |